Entry 1:
# GGA-PBE Ca2AcHg2Pb2, relaxed
# magnetization = 0.0 μB/f.u.
# N(E_F) = 0.388 states/eV per atom
data_Ca2AcHg2Pb2
_chemical_formula_sum 'Ca6 Ac3 Hg6 Pb6'
_cell_length_a 5.1725
_cell_length_b 5.1725
_cell_length_c 27.8891
_cell_angle_alpha 90.00
_cell_angle_beta 90.00
_cell_angle_gamma 120.00
_space_group_name_H-M_alt 'R -3 m'
_space_group_IT_number 166
_space_group_name_Hall '-R 3 2"'
loop_
_atom_site_label
_atom_site_type_symbol
_atom_site_fract_x
_atom_site_fract_y
_atom_site_fract_z
Ca1 Ca 0.0000 0.0000 0.1353
Ac1 Ac 0.0000 0.0000 0.0000
Hg1 Hg 0.0000 0.0000 0.4409
Pb1 Pb 0.0000 0.0000 0.2638


Entry 2:
# GGA-PBE CaAcHgPd, relaxed
# magnetization = 0.0 μB/f.u.
# energy above the most stable polymorph in this dataset = 0.0 kJ per mole of atoms
# N(E_F) = 0.581 states/eV per atom
data_CaAcHgPd
_chemical_formula_sum 'Ca2 Ac2 Hg2 Pd2'
_cell_length_a 4.4257
_cell_length_b 4.2705
_cell_length_c 12.2556
_cell_angle_alpha 90.00
_cell_angle_beta 90.00
_cell_angle_gamma 90.00
_space_group_name_H-M_alt 'A m m 2'
_space_group_IT_number 38
loop_
_space_group_symop_operation_xyz
'x,y,z'
'-x,-y,z'
'-x,y,z'
'x,-y,z'
'x,y+1/2,z+1/2'
'-x,-y+1/2,z+1/2'
'-x,y+1/2,z+1/2'
'x,-y+1/2,z+1/2'
loop_
_atom_site_label
_atom_site_type_symbol
_atom_site_fract_x
_atom_site_fract_y
_atom_site_fract_z
Ca1 Ca 0.0000 0.0000 0.0000
Ac1 Ac 0.5000 0.0000 0.7170
Hg1 Hg 0.5000 0.0000 0.4359
Pd1 Pd 0.0000 0.0000 0.2647


| no. | formation enthalpy at 0 K (kJ/mol of atoms) | total energy (eV per atom) |
| --- | --- | --- |
| 1 | -38 | -2.702 |
| 2 | -62 | -3.544 |